An optimized crystal structure of Er6TmPb. Source: Alexandria via LeMat-Bulk, functional PBE.

a b c (Å): 9.1053 9.1053 10.1371
angles (deg): 90.00 90.00 120.00
Space group R-3 (No. 148, hexagonal axes)
Unique sites:
1 Er 0.0171 0.7575 0.2267 (multiplicity 18)
2 Tm 0.0000 0.0000 0.5000 (multiplicity 3)
3 Pb 0.0000 0.0000 0.0000 (multiplicity 3)

Summary:
As for the energy above the most stable polymorph in this dataset: 0.057 eV/atom. The formation energy from the elements comes out at -0.2 eV per formula unit.